{
  "formula": "SrMnSeO",
  "functional": "PBE with a Hubbard U",
  "state": "optimized geometry",
  "energy_ev_per_fu": -24.14,
  "lattice_angstrom": [[3.9727, 0.0000, 0.0000], [0.0000, 4.8408, 0.0000], [0.0000, 0.0000, 4.8079]],
  "species": ["Sr", "Mn", "Se", "O"],
  "fractional_positions": [[0.0000, 0.0000, 0.0000], [0.5000, 0.5000, 0.7042], [0.5000, 0.0000, 0.4861], [0.0000, 0.5000, 0.8649]]
}